Entry 1:
Computed, not measured: a relaxed DyTh4Pd4 crystal at the PBE-GGA level of DFT.

Cell lengths 6.024, 8.956, 8.956 Å; angles 90.00, 90.00, 90.00 degrees
Atoms (fractional coordinates):
Th (0.403, 0.701, 0.084)
Th (0.097, 0.799, 0.416)
Th (0.597, 0.084, 0.299)
Th (0.097, 0.201, 0.584)
Th (0.903, 0.416, 0.201)
Th (0.597, 0.916, 0.701)
Th (0.403, 0.299, 0.916)
Th (0.903, 0.584, 0.799)
Dy (0.500, 0.500, 0.500)
Dy (0.000, 0.000, 0.000)
Pd (0.891, 0.282, 0.888)
Pd (0.391, 0.612, 0.782)
Pd (0.109, 0.888, 0.718)
Pd (0.109, 0.112, 0.282)
Pd (0.891, 0.718, 0.112)
Pd (0.609, 0.782, 0.388)
Pd (0.391, 0.388, 0.218)
Pd (0.609, 0.218, 0.612)

Results
Volume   26.85 Å³/atom
M_tot   0.00 Bohr magnetons per cell
Total energy   -6.65 eV/atom


Entry 2:
Computed, not measured: a relaxed SrLa2Ni crystal at the PBE-GGA level of DFT.

Cell lengths 6.710, 6.710, 6.915 Å; angles 57.34, 57.34, 33.22 degrees
Atoms (fractional coordinates):
La (0.162, 0.162, 0.385)
La (0.981, 0.981, 0.091)
Ni (0.547, 0.547, 0.280)
Sr (0.810, 0.810, 0.744)

Results
Volume   35.24 Å³/atom
M_tot   0.00 Bohr magnetons per cell
Total energy   -4.35 eV/atom


Entry 3:
Computed, not measured: a relaxed CaAgSnI5 crystal at the PBE-GGA level of DFT.

Cell lengths 8.382, 8.382, 11.502 Å; angles 105.99, 105.99, 105.86 degrees
Atoms (fractional coordinates):
Sn (0.368, 0.632, 0.250)
Sn (0.632, 0.368, 0.750)
I (0.346, 0.971, 0.664)
I (0.971, 0.346, 0.164)
I (0.890, 0.110, 0.750)
I (0.623, 0.704, 0.949)
I (0.110, 0.890, 0.250)
I (0.654, 0.029, 0.336)
I (0.704, 0.623, 0.449)
I (0.029, 0.654, 0.836)
I (0.296, 0.377, 0.551)
I (0.377, 0.296, 0.051)
Ca (0.000, 0.000, 0.000)
Ca (0.000, 0.000, 0.500)
Ag (0.683, 0.317, 0.250)
Ag (0.317, 0.683, 0.750)

Results
Volume   43.21 Å³/atom
M_tot   0.00 Bohr magnetons per cell
Formation energy (no corrections)   -761 meV/atom


Entry 4:
Computed, not measured: a relaxed KZn2Tc crystal at the PBE-GGA level of DFT.

Cell lengths 2.733, 2.733, 10.002 Å; angles 90.00, 90.00, 101.69 degrees
Atoms (fractional coordinates):
Zn (0.500, 0.500, 0.211)
Zn (0.000, 0.000, 0.994)
K (0.000, 0.000, 0.503)
Tc (0.500, 0.500, 0.792)

Results
Volume   18.29 Å³/atom
M_tot   0.00 Bohr magnetons per cell
Total energy   -2.92 eV/atom


Entry 5:
Computed, not measured: a relaxed Ag2PdPt crystal at the PBE-GGA level of DFT.

Cell lengths 4.554, 4.554, 4.554 Å; angles 60.00, 60.00, 60.00 degrees
Atoms (fractional coordinates):
Ag (0.750, 0.750, 0.750)
Ag (0.250, 0.250, 0.250)
Pt (0.500, 0.500, 0.500)
Pd (0.000, 0.000, 0.000)

Results
Volume   16.69 Å³/atom
M_tot   0.00 Bohr magnetons per cell
Total energy   -4.14 eV/atom


Entry 6:
Computed, not measured: a relaxed La12Tl5Rh2 crystal at the PBE-GGA level of DFT.

Cell lengths 8.071, 9.761, 10.339 Å; angles 105.31, 90.00, 114.42 degrees
Atoms (fractional coordinates):
Tl (0.000, 0.000, 0.500)
Tl (0.692, 0.384, 0.364)
Tl (0.308, 0.616, 0.636)
Tl (0.305, 0.610, 0.163)
Tl (0.695, 0.390, 0.837)
La (0.110, 0.680, 0.915)
La (0.571, 0.680, 0.915)
La (0.604, 0.694, 0.422)
La (0.396, 0.306, 0.578)
La (0.090, 0.694, 0.422)
La (0.429, 0.320, 0.085)
La (0.007, 0.014, 0.820)
La (0.910, 0.306, 0.578)
La (0.890, 0.320, 0.085)
La (0.498, 0.996, 0.235)
La (0.502, 0.004, 0.765)
La (0.993, 0.986, 0.180)
Rh (0.286, 0.000, 0.000)
Rh (0.714, 0.000, 0.000)

Results
Volume   37.36 Å³/atom
M_tot   0.01 Bohr magnetons per cell
Total energy   -4.76 eV/atom


Entry 7:
Computed, not measured: a relaxed Pm4B3SbRh12 crystal at the PBE-GGA level of DFT.

Cell lengths 7.609, 7.609, 7.609 Å; angles 109.47, 109.47, 109.47 degrees
Atoms (fractional coordinates):
Rh (0.278, 0.000, 0.278)
Rh (0.750, 0.500, 0.250)
Rh (0.722, 0.722, 0.000)
Rh (0.250, 0.750, 0.500)
Rh (0.722, 0.000, 0.722)
Rh (0.750, 0.250, 0.500)
Rh (0.500, 0.750, 0.250)
Rh (0.250, 0.500, 0.750)
Rh (0.500, 0.250, 0.750)
Rh (0.278, 0.278, 0.000)
Rh (0.000, 0.722, 0.722)
Rh (0.000, 0.278, 0.278)
B (0.000, 0.500, 0.500)
B (0.500, 0.500, 0.000)
B (0.500, 0.000, 0.500)
Pm (0.000, 0.000, 0.500)
Pm (0.500, 0.000, 0.000)
Pm (0.000, 0.500, 0.000)
Pm (0.500, 0.500, 0.500)
Sb (0.000, 0.000, 0.000)

Results
Volume   16.95 Å³/atom
M_tot   0.00 Bohr magnetons per cell
Formation energy (no corrections)   -577 meV/atom


Entry 8:
Computed, not measured: a relaxed Li3GeAu4 crystal at the PBE-GGA level of DFT.

Cell lengths 8.255, 8.255, 8.255 Å; angles 68.31, 160.07, 115.44 degrees
Atoms (fractional coordinates):
Ge (0.832, 0.500, 0.332)
Li (0.831, 0.167, 0.998)
Li (0.332, 0.000, 0.332)
Li (0.831, 0.833, 0.664)
Au (0.600, 0.768, 0.832)
Au (0.331, 0.328, 0.659)
Au (0.331, 0.672, 0.003)
Au (0.064, 0.232, 0.832)

Results
Volume   21.52 Å³/atom
M_tot   0.00 Bohr magnetons per cell
Total energy   -2.99 eV/atom


Entry 9:
Computed, not measured: a relaxed MnFe2RuC crystal at the PBE-GGA level of DFT.

Cell lengths 3.775, 3.775, 3.779 Å; angles 90.00, 90.00, 90.00 degrees
Last column: magnetic moment on the atom in μB.
Atoms (fractional coordinates):
Fe (0.500, 0.000, 0.000)  1.35
Fe (0.000, 0.500, 0.000)  1.35
C (0.000, 0.000, 0.000)  -0.07
Mn (0.000, 0.000, 0.500)  0.90
Ru (0.500, 0.500, 0.500)  0.56

Results
Volume   10.77 Å³/atom
M_tot   4.07 Bohr magnetons per cell
Total energy   -8.69 eV/atom


Entry 10:
Computed, not measured: a relaxed CaOsRu3 crystal at the PBE-GGA level of DFT.

Cell lengths 4.485, 4.485, 4.485 Å; angles 90.00, 90.00, 90.00 degrees
Atoms (fractional coordinates):
Ru (0.000, 0.000, 0.500)
Ru (0.500, 0.000, 0.000)
Ru (0.000, 0.500, 0.000)
Ca (0.000, 0.000, 0.000)
Os (0.500, 0.500, 0.500)

Results
Volume   18.04 Å³/atom
M_tot   0.02 Bohr magnetons per cell
Total energy   -5.49 eV/atom


Entry 11:
Computed, not measured: a relaxed TbNdPa crystal at the PBE-GGA level of DFT.

Cell lengths 3.413, 3.413, 8.168 Å; angles 102.06, 102.06, 90.00 degrees
Atoms (fractional coordinates):
Tb (0.680, 0.680, 0.360)
Pa (0.332, 0.332, 0.663)
Nd (0.988, 0.988, 0.977)

Results
Volume   30.30 Å³/atom
M_tot   0.00 Bohr magnetons per cell
Total energy   -6.12 eV/atom


Entry 12:
Computed, not measured: a relaxed Li2ICl crystal at the PBE-GGA level of DFT.

Cell lengths 3.987, 3.987, 6.859 Å; angles 73.10, 73.10, 60.00 degrees
Atoms (fractional coordinates):
Li (0.760, 0.760, 0.719)
Li (0.240, 0.240, 0.281)
Cl (0.500, 0.500, 0.500)
I (0.000, 0.000, 0.000)

Results
Volume   22.24 Å³/atom
M_tot   0.00 Bohr magnetons per cell
Formation energy (no corrections)   -1443 meV/atom


Entry 13:
Computed, not measured: a relaxed DyZr3C crystal at the PBE-GGA level of DFT.

Cell lengths 4.711, 4.711, 4.711 Å; angles 90.00, 90.00, 90.00 degrees
Atoms (fractional coordinates):
Zr (0.500, 0.000, 0.000)
Zr (0.000, 0.000, 0.500)
Zr (0.000, 0.500, 0.000)
Dy (0.500, 0.500, 0.500)
C (0.000, 0.000, 0.000)

Results
Volume   20.91 Å³/atom
M_tot   0.00 Bohr magnetons per cell
Total energy   -8.05 eV/atom